A plane-wave DFT calculation with PBE was carried out for crystalline YTmBe2 at its relaxed geometry.

Results
magnetic moment	0.0	μB per cell
E	-18.08	eV per cell
density of states at the Fermi level	3.82	states/eV/f.u.
energy of formation	0.077	eV/atom

The structure in POSCAR format:
```
YTmBe2
1.0
0.000 3.392 3.392
3.392 0.000 3.392
3.392 3.392 0.000
Y Tm Be
1 1 2
Cartesian
0.000 0.000 0.000
3.392 3.392 3.392
1.696 1.696 1.696
5.088 5.088 5.088
```

---

A plane-wave DFT calculation with PBE was carried out for crystalline YTmBe2 at its relaxed geometry.

Results
magnetic moment	0.0	μB per cell
E	-18.08	eV per cell
density of states at the Fermi level	3.92	states/eV/f.u.
energy of formation	0.077	eV/atom

The structure in POSCAR format:
```
YTmBe2
1.0
4.783 0.000 0.000
0.000 4.783 0.000
0.000 0.000 3.407
Y Tm Be
1 1 2
Cartesian
0.000 0.000 0.000
2.391 2.391 0.000
0.000 2.391 1.704
2.391 0.000 1.704
```

---

A plane-wave DFT calculation with PBE was carried out for crystalline Y2TmBe at its relaxed geometry.

Results
magnetic moment	0.0	μB per cell
E	-20.84	eV per cell
density of states at the Fermi level	4.35	states/eV/f.u.
energy of formation	0.071	eV/atom

The structure in POSCAR format:
```
Y2TmBe
1.0
3.469 0.000 0.000
0.000 3.469 0.000
0.000 0.000 8.549
Y Tm Be
2 1 1
Cartesian
0.000 0.000 1.662
0.000 0.000 6.887
1.734 1.734 4.274
1.734 1.734 0.000
```

---

A plane-wave DFT calculation with PBE was carried out for crystalline YTmBe at its relaxed geometry.

Results
magnetic moment	0.0	μB per cell
E	-14.46	eV per cell
density of states at the Fermi level	2.94	states/eV/f.u.
energy of formation	0.068	eV/atom

The structure in POSCAR format:
```
YTmBe
1.0
-1.719 1.719 5.987
1.719 -1.719 5.987
1.719 1.719 -5.987
Y Tm Be
1 1 1
Cartesian
0.000 0.000 0.000
0.000 0.000 3.240
0.000 0.000 7.668
```

---

A plane-wave DFT calculation with PBE was carried out for crystalline YTmBeZn at its relaxed geometry.

Results
magnetic moment	0.0	μB per cell
E	-16.44	eV per cell
density of states at the Fermi level	3.51	states/eV/f.u.
energy of formation	-0.127	eV/atom

The structure in POSCAR format:
```
YTmBeZn
1.0
0.000 3.477 3.477
3.477 0.000 3.477
3.477 3.477 0.000
Y Tm Be Zn
1 1 1 1
Cartesian
0.000 0.000 0.000
3.477 3.477 3.477
5.215 5.215 5.215
1.738 1.738 1.738
```

---

A plane-wave DFT calculation with PBE was carried out for crystalline Tm6BeZn5 at its relaxed geometry.

Results
magnetic moment	0.0	μB per cell
E	-40.24	eV per cell
density of states at the Fermi level	11.46	states/eV/f.u.
energy of formation	-0.276	eV/atom

The structure in POSCAR format:
```
Tm6BeZn5
1.0
-2.467 3.513 7.384
2.467 -3.513 7.384
2.467 3.513 -7.384
Tm Be Zn
6 1 5
Cartesian
2.467 1.727 -2.418
0.000 1.699 0.000
2.467 1.727 2.418
0.000 1.786 4.966
0.000 5.327 0.000
0.000 1.786 9.802
2.467 0.000 0.000
0.000 0.000 2.498
2.467 0.000 4.924
0.000 0.000 7.384
0.000 3.513 2.459
0.000 0.000 12.269
```

---

A plane-wave DFT calculation with PBE was carried out for crystalline Tm4BeZn3 at its relaxed geometry.

Results
magnetic moment	0.0	μB per cell
E	-27.37	eV per cell
density of states at the Fermi level	8.29	states/eV/f.u.
energy of formation	-0.242	eV/atom

The structure in POSCAR format:
```
Tm4BeZn3
1.0
3.466 0.000 0.000
0.000 3.466 0.000
0.000 0.000 14.024
Tm Be Zn
4 1 3
Cartesian
0.000 0.000 1.623
0.000 0.000 5.214
0.000 0.000 8.810
0.000 0.000 12.401
1.733 1.733 0.000
1.733 1.733 3.426
1.733 1.733 7.012
1.733 1.733 10.598
```

---

A plane-wave DFT calculation with PBE was carried out for crystalline TmBe2Zn9 at its relaxed geometry.

Results
magnetic moment	0.0	μB per cell
E	-49.84	eV per cell
density of states at the Fermi level	2.87	states/eV/f.u.
energy of formation	-0.128	eV/atom

The structure in POSCAR format:
```
TmBe2Zn9
1.0
-5.137 5.137 3.280
5.137 -5.137 3.280
5.137 5.137 -3.280
Tm Be Zn
2 4 18
Cartesian
5.137 2.568 0.820
0.000 2.568 2.460
0.000 0.000 0.000
2.568 2.568 -1.640
2.568 -2.568 1.640
0.000 5.137 0.000
5.137 -2.568 2.460
3.886 -0.514 1.206
6.387 -0.514 1.206
2.054 1.318 0.434
8.219 1.318 0.434
3.886 4.623 -1.206
1.250 -0.514 2.074
2.054 3.818 0.434
3.082 -1.318 3.713
2.054 6.455 -0.434
3.082 1.318 2.846
3.886 5.650 1.206
1.250 0.514 4.486
-3.082 3.818 2.846
3.082 3.818 2.846
-1.250 5.650 2.074
1.250 5.650 2.074
0.000 7.705 0.820
```

---

A plane-wave DFT calculation with PBE was carried out for crystalline Tm5BeZn4 at its relaxed geometry.

Results
magnetic moment	0.0	μB per cell
E	-33.82	eV per cell
density of states at the Fermi level	9.76	states/eV/f.u.
energy of formation	-0.264	eV/atom

The structure in POSCAR format:
```
Tm5BeZn4
1.0
3.478 0.000 0.000
0.000 3.478 0.000
0.000 0.000 17.532
Tm Be Zn
5 1 4
Cartesian
0.000 0.000 0.000
0.000 0.000 3.575
0.000 0.000 7.144
0.000 0.000 10.389
0.000 0.000 13.957
1.739 1.739 8.766
1.739 1.739 1.791
1.739 1.739 5.360
1.739 1.739 12.172
1.739 1.739 15.741
```

---

A plane-wave DFT calculation with PBE was carried out for crystalline TmZrBeZn at its relaxed geometry.

Results
magnetic moment	0.0	μB per cell
E	-18.36	eV per cell
density of states at the Fermi level	4.05	states/eV/f.u.
energy of formation	-0.086	eV/atom

The structure in POSCAR format:
```
TmZrBeZn
1.0
0.000 3.347 3.347
3.347 0.000 3.347
3.347 3.347 0.000
Tm Zr Be Zn
1 1 1 1
Cartesian
0.000 0.000 0.000
3.347 3.347 3.347
1.674 1.674 1.674
5.021 5.021 5.021
```

---

A plane-wave DFT calculation with PBE was carried out for crystalline TmZrBe2 at its relaxed geometry.

Results
magnetic moment	0.0	μB per cell
E	-20.52	eV per cell
density of states at the Fermi level	2.16	states/eV/f.u.
energy of formation	-0.012	eV/atom

The structure in POSCAR format:
```
TmZrBe2
1.0
3.256 0.000 0.000
0.000 3.256 0.000
0.000 0.000 6.498
Tm Zr Be
1 1 2
Cartesian
0.000 0.000 0.000
0.000 0.000 3.249
1.628 1.628 1.782
1.628 1.628 4.716
```

---

A plane-wave DFT calculation with PBE was carried out for crystalline TmZrBe at its relaxed geometry.

Results
magnetic moment	0.0	μB per cell
E	-16.56	eV per cell
density of states at the Fermi level	2.79	states/eV/f.u.
energy of formation	0.063	eV/atom

The structure in POSCAR format:
```
TmZrBe
1.0
-1.625 1.625 5.772
1.625 -1.625 5.772
1.625 1.625 -5.772
Tm Zr Be
1 1 1
Cartesian
0.000 0.000 0.000
0.000 0.000 3.368
0.000 0.000 7.630
```

---

A plane-wave DFT calculation with PBE was carried out for crystalline TmZrBe2 at its relaxed geometry.

Results
magnetic moment	0.0	μB per cell
E	-20.33	eV per cell
density of states at the Fermi level	3.88	states/eV/f.u.
energy of formation	0.035	eV/atom

The structure in POSCAR format:
```
TmZrBe2
1.0
0.000 3.251 3.251
3.251 0.000 3.251
3.251 3.251 0.000
Tm Zr Be
1 1 2
Cartesian
0.000 0.000 0.000
3.251 3.251 3.251
1.626 1.626 1.626
4.877 4.877 4.877
```

---

A plane-wave DFT calculation with PBE was carried out for crystalline Tm2ZrBe at its relaxed geometry.

Results
magnetic moment	0.0	μB per cell
E	-20.92	eV per cell
density of states at the Fermi level	4.53	states/eV/f.u.
energy of formation	0.074	eV/atom

The structure in POSCAR format:
```
Tm2ZrBe
1.0
3.327 0.000 0.000
0.000 3.327 0.000
0.000 0.000 8.156
Tm Zr Be
2 1 1
Cartesian
0.000 0.000 1.720
0.000 0.000 6.435
1.663 1.663 4.078
1.663 1.663 0.000
```

---

A plane-wave DFT calculation with PBE was carried out for crystalline U4Be at its relaxed geometry.

Results
magnetic moment	5.3	μB per cell
E	-43.65	eV per cell
density of states at the Fermi level	18.10	states/eV/f.u.
energy of formation	1.046	eV/atom

The structure in POSCAR format:
```
U4Be
1.0
4.752 0.000 0.000
0.000 4.752 0.000
0.000 0.000 4.752
U Be
4 1
Cartesian
0.000 0.000 0.000
0.000 2.376 2.376
2.376 0.000 2.376
2.376 2.376 0.000
2.376 2.376 2.376
```

---

A plane-wave DFT calculation with PBE was carried out for crystalline UBe13 at its relaxed geometry.

Results
magnetic moment	4.4	μB per cell
E	-121.97	eV per cell
density of states at the Fermi level	6.93	states/eV/f.u.
energy of formation	-0.090	eV/atom

The structure in POSCAR format:
```
UBe13
1.0
0.000 5.089 5.089
5.089 0.000 5.089
5.089 5.089 0.000
U Be
2 26
Cartesian
2.544 2.544 2.544
7.633 7.633 7.633
0.000 0.000 0.000
5.089 3.911 1.789
8.388 5.089 3.911
6.266 1.789 5.089
6.266 5.089 3.300
5.089 3.300 3.911
6.877 3.911 5.089
5.089 6.266 1.789
3.911 1.789 5.089
8.388 5.089 6.266
3.911 5.089 3.300
6.877 6.266 5.089
5.089 3.300 6.266
5.089 5.089 5.089
5.089 6.877 3.911
3.300 3.911 5.089
6.266 5.089 6.877
1.789 5.089 3.911
6.266 8.388 5.089
5.089 3.911 8.388
3.300 6.266 5.089
5.089 6.877 6.266
3.911 5.089 6.877
3.911 8.388 5.089
1.789 5.089 6.266
5.089 6.266 8.388
```

---

A plane-wave DFT calculation with PBE was carried out for crystalline UBe4 at its relaxed geometry.

Results
magnetic moment	4.4	μB per cell
E	-13.04	eV per cell
density of states at the Fermi level	6.78	states/eV/f.u.
energy of formation	2.631	eV/atom

The structure in POSCAR format:
```
UBe4
1.0
4.908 0.000 0.000
0.000 4.908 0.000
0.000 0.000 4.908
U Be
1 4
Cartesian
0.000 0.000 0.000
0.000 0.000 2.454
0.000 2.454 0.000
2.454 0.000 0.000
2.454 2.454 2.454
```

---

A plane-wave DFT calculation with PBE was carried out for crystalline UBe at its relaxed geometry.

Results
magnetic moment	0.0	μB per cell
E	-29.33	eV per cell
density of states at the Fermi level	3.60	states/eV/f.u.
energy of formation	0.174	eV/atom

The structure in POSCAR format:
```
UBe
1.0
3.129 0.000 0.000
0.000 3.857 0.000
-1.067 0.000 5.211
U Be
2 2
Cartesian
-0.058 0.964 1.898
2.120 2.893 3.313
0.459 0.964 4.696
1.603 2.893 0.515
```

---

A plane-wave DFT calculation with PBE was carried out for crystalline U2Be17 at its relaxed geometry.

Results
magnetic moment	3.2	μB per cell
E	-86.07	eV per cell
density of states at the Fermi level	13.11	states/eV/f.u.
energy of formation	-0.008	eV/atom

The structure in POSCAR format:
```
U2Be17
1.0
3.845 2.220 3.752
-3.845 2.220 3.752
0.000 -4.439 3.752
U Be
2 17
Cartesian
0.000 0.000 1.771
0.000 0.000 9.484
-1.922 -1.110 3.752
0.000 -2.186 3.661
-1.894 1.093 3.661
-1.078 -1.866 5.628
-2.155 0.000 5.628
-1.894 -1.093 7.594
0.000 0.000 4.536
-1.922 1.110 7.504
1.078 -1.866 5.628
0.000 2.220 3.752
-1.078 1.866 5.628
0.000 0.000 6.720
1.894 1.093 3.661
2.155 0.000 5.628
1.078 1.866 5.628
1.894 -1.093 7.594
0.000 2.186 7.594
```

---

A plane-wave DFT calculation with PBE was carried out for crystalline UBe17V at its relaxed geometry.

Results
magnetic moment	1.8	μB per cell
E	-84.18	eV per cell
density of states at the Fermi level	7.80	states/eV/f.u.
energy of formation	-0.023	eV/atom

The structure in POSCAR format:
```
UBe17V
1.0
3.746 2.163 3.646
-3.746 2.163 3.646
0.000 -4.326 3.646
U Be V
1 17 1
Cartesian
0.000 0.000 0.000
0.000 -2.129 1.877
-1.843 1.064 1.877
-1.875 -1.082 5.397
0.000 -2.129 5.288
-1.844 1.065 5.288
-1.055 -1.891 7.220
-2.165 0.032 7.220
1.843 1.064 1.877
0.000 0.000 6.110
1.055 -1.891 7.220
-1.110 1.859 7.220
1.875 -1.082 5.397
0.000 2.165 5.397
0.000 0.000 8.239
1.844 1.065 5.288
2.165 0.032 7.220
1.110 1.859 7.220
0.000 0.000 3.563
```